AsRhO2: optimized geometry, PBE.

Properties
Magnetization, Bohr magnetons per cell: 7.67
ΔE_f (raw), eV/atom: -0.03
Electronic total energy, eV/cell: -88.1

a = 4.838 Å, b = 4.838 Å, c = 10.094 Å
α = 90.00°, β = 90.00°, γ = 90.00°
Element x y z (fractional)
1 As 0.000 0.000 0.000
2 As 0.000 0.500 0.250
3 As 0.500 0.000 0.750
4 As 0.500 0.500 0.500
5 Rh 0.000 0.000 0.500
6 Rh 0.000 0.500 0.750
7 Rh 0.500 0.000 0.250
8 Rh 0.500 0.500 0.000
9 O 0.217 0.250 0.125
10 O 0.250 0.717 0.375
11 O 0.250 0.783 0.875
12 O 0.283 0.250 0.625
13 O 0.717 0.750 0.625
14 O 0.750 0.217 0.875
15 O 0.750 0.283 0.375
16 O 0.783 0.750 0.125